First-principles (PBE) data for Sn3Pb after structural relaxation, as listed in Alexandria.

Summary:
energy of formation	0.05	eV/atom
crystal system	orthorhombic
DFT total energy	-3.88	eV/atom

```
data_Sn3Pb
_chemical_formula_sum 'Sn3 Pb1'
_space_group_name_H-M_alt 'P m m 2'
_space_group_IT_number 25
_space_group_name_Hall 'P 2 -2'
_cell_length_a 4.4121
_cell_length_b 5.1144
_cell_length_c 5.1069
_cell_angle_alpha 90.00
_cell_angle_beta 90.00
_cell_angle_gamma 90.00
loop_
_atom_site_label
_atom_site_fract_x
_atom_site_fract_y
_atom_site_fract_z
Sn1 0.0000 0.0000 0.0000
Sn2 0.0000 0.5000 0.4571
Sn3 0.5000 0.0000 0.4881
Pb1 0.5000 0.5000 0.9576
```